KU2MnO8: relaxed, PBE with a Hubbard U.

The structure belongs to space group C2/m (No. 12); the cell edges are 7.6959, 6.7726 and 7.0153 Å and the angles 90.00°, 92.80° and 90.00°. The asymmetric unit holds K at (0.0000, 0.0000, 0.0000), U at (0.0049, 0.5000, 0.2574), Mn at (0.0000, 0.0000, 0.5000), O at (0.0087, 0.2048, 0.6983), O at (0.1579, 0.5000, 0.9791) and O at (0.1718, 0.5000, 0.4889).

For the calculated total energy, the calculation gives -8.4551 eV per atom.